Density functional theory data (GGA-PBE) for a geometry-optimized Tb3NdTm2Bi6 structure.

## Properties
Its total magnetization is 0.0000 μB/atom. Its space group is C2/m (12). As for the crystal system: monoclinic. The formation energy is -0.854 eV/atom.

Geometry as POSCAR:
```
Tb3NdTm2Bi6
1.0
9.7893 -2.2468 0.0000
9.7893 2.2468 0.0000
-2.0576 0.0000 8.7483
Tb Nd Tm Bi
3 1 2 6
Direct
0.0000 0.0000 0.0000
0.3350 0.3350 0.6683
0.6650 0.6650 0.3317
0.0000 0.0000 0.5000
0.3326 0.3326 0.1668
0.6674 0.6674 0.8332
0.1676 0.1676 0.0801
0.1692 0.1692 0.5870
0.4981 0.4981 0.2436
0.5019 0.5019 0.7564
0.8308 0.8308 0.4130
0.8324 0.8324 0.9199
```

=====

Density functional theory data (GGA-PBE) for a geometry-optimized Sr2ScTc structure.

## Properties
Its total magnetization is 0.0000 μB/atom. Its space group is I-42d (122). As for the crystal system: tetragonal. The formation energy is 0.616 eV/atom. Its energy above the most stable polymorph in this dataset is 355 meV/atom.

Geometry as POSCAR:
```
Sr2ScTc
1.0
-5.7817 5.7817 2.3675
5.7817 -5.7817 2.3675
5.7817 5.7817 -2.3675
Sr Sc Tc
4 2 2
Direct
0.3750 0.2102 0.3352
0.7898 0.1250 0.1648
0.8750 0.0398 0.6648
0.9602 0.6250 0.8352
0.2500 0.7500 0.5000
0.5000 0.5000 0.0000
0.0000 0.0000 0.0000
0.7500 0.2500 0.5000
```

=====

Density functional theory data (GGA-PBE) for a geometry-optimized USnOs structure.

## Properties
Its total magnetization is 0.6187 μB/atom. Its space group is I4mm (107). As for the crystal system: tetragonal. The formation energy is 0.008 eV/atom.

Geometry as POSCAR:
```
USnOs
1.0
-1.6168 1.6168 5.8876
1.6168 -1.6168 5.8876
1.6168 1.6168 -5.8876
U Sn Os
1 1 1
Direct
0.0000 0.0000 0.0000
0.7052 0.7052 0.0000
0.3541 0.3541 0.0000
```

=====

Density functional theory data (GGA-PBE) for a geometry-optimized La2HS structure.

## Properties
Its total magnetization is 0.0000 μB/atom. Its space group is Fm-3m (225). As for the crystal system: cubic. Its energy above the most stable polymorph in this dataset is 329 meV/atom.

Geometry as POSCAR:
```
La2HS
1.0
0.0000 3.4744 3.4744
3.4744 0.0000 3.4744
3.4744 3.4744 0.0000
La H S
2 1 1
Direct
0.2500 0.2500 0.2500
0.7500 0.7500 0.7500
0.0000 0.0000 0.0000
0.5000 0.5000 0.5000
```

=====

Density functional theory data (GGA-PBE) for a geometry-optimized Tm8CuTc2 structure.

## Properties
Its total magnetization is 0.0000 μB/atom. Its space group is Cm (8). As for the crystal system: monoclinic. The formation energy is -0.059 eV/atom.

Geometry as POSCAR:
```
Tm8CuTc2
1.0
4.2162 -6.2708 0.0000
4.2162 6.2708 0.0000
-1.8199 0.0000 5.3978
Tm Cu Tc
8 1 2
Direct
0.0000 0.0000 0.0000
0.0396 0.3026 0.5980
0.1570 0.5968 0.1975
0.3026 0.0396 0.5980
0.4537 0.7182 0.7917
0.5968 0.1570 0.1975
0.7182 0.4537 0.7917
0.7453 0.7453 0.3911
0.3711 0.3711 0.3414
0.0665 0.6877 0.6928
0.6877 0.0665 0.6928
```